Below is LiFeF3 after structural relaxation, with properties calculated at the GGA+U level.

abc: 5.3203 8.0147 5.0328
angles: 90.00 90.00 90.00
Last column: nearest neighbours and their distance in Å.
Fractional positions:
Li: 0.0000 0.0000 0.0000  6 F 1.98-2.21
Li: 0.0000 0.5000 0.0000  6 F 1.98-2.21
Li: 0.5000 0.0000 0.5000  6 F 1.98-2.21
Li: 0.5000 0.5000 0.5000  6 F 1.98-2.21
Fe: 0.0696 0.2500 0.4590  6 F 2.04-2.18
Fe: 0.4304 0.7500 0.9590  6 F 2.04-2.18
Fe: 0.5696 0.2500 0.0411  6 F 2.04-2.18
Fe: 0.9304 0.7500 0.5410  6 F 2.04-2.18
F: 0.0789 0.7500 0.1676  2 Fe 2.04-2.14, 2 Li 2.21
F: 0.2071 0.5878 0.7053  2 Li 1.98-2.00, 2 Fe 2.13-2.18
F: 0.2071 0.9122 0.7053  2 Li 1.98-2.00, 2 Fe 2.13-2.18
F: 0.2929 0.0878 0.2053  2 Li 1.98-2.00, 2 Fe 2.13-2.18
F: 0.2929 0.4122 0.2053  2 Li 1.98-2.00, 2 Fe 2.13-2.18
F: 0.4211 0.2500 0.6676  2 Fe 2.04-2.14, 2 Li 2.21
F: 0.5789 0.7500 0.3324  2 Fe 2.04-2.14, 2 Li 2.21
F: 0.7071 0.5878 0.7947  2 Li 1.98-2.00, 2 Fe 2.13-2.18
F: 0.7071 0.9122 0.7947  2 Li 1.98-2.00, 2 Fe 2.13-2.18
F: 0.7929 0.0878 0.2947  2 Li 1.98-2.00, 2 Fe 2.13-2.18
F: 0.7929 0.4122 0.2947  2 Li 1.98-2.00, 2 Fe 2.13-2.18
F: 0.9211 0.2500 0.8324  2 Fe 2.04-2.14, 2 Li 2.21

Summary:
- Crystal system: orthorhombic
- Space-group type: Pnma
- Calculated density: 3.71 g/cm³
- Distance to the lowest polymorph of the same formula: 48 meV/atom
- Total DFT energy (no corrections): -104.664 eV for the cell shown